Record 1
Here is a relaxed Ac4Cd5Ga2 crystal from Alexandria. Energies are from GGA-PBE. Values from VASP.

Geometry as Quantum ESPRESSO input:
```
&SYSTEM
  ibrav = 0, nat = 11, ntyp = 3
/
ATOMIC_SPECIES
Ac 227.00 Ac.upf
Cd 112.41 Cd.upf
Ga 69.72 Ga.upf
CELL_PARAMETERS angstrom
-0.881 -0.642 -4.639
-3.372 -6.614 1.556
-8.051 4.668 0.883
ATOMIC_POSITIONS crystal
Ac 0.500 0.760 0.580
Ac 0.500 0.195 0.856
Ac 0.500 0.240 0.420
Ac 0.500 0.805 0.144
Cd 0.000 0.559 0.332
Cd 0.000 0.161 0.136
Cd 0.000 0.500 0.000
Cd 0.000 0.839 0.864
Cd 0.000 0.441 0.668
Ga 0.000 0.065 0.631
Ga 0.000 0.935 0.369
```

Values from the calculation:
The calculation puts the total energy at -30.65 eV per cell.

---

Record 2
Here is a relaxed Ac8CdGa2 crystal from Alexandria. Energies are from GGA-PBE. Values from VASP.

Geometry as Quantum ESPRESSO input:
```
&SYSTEM
  ibrav = 0, nat = 11, ntyp = 3
/
ATOMIC_SPECIES
Ac 227.00 Ac.upf
Cd 112.41 Cd.upf
Ga 69.72 Ga.upf
CELL_PARAMETERS angstrom
-0.173 1.953 -5.085
-7.911 -0.261 0.169
2.387 8.101 5.951
ATOMIC_POSITIONS crystal
Ac 0.408 0.539 0.817
Ac 0.669 0.964 0.338
Ac 0.799 0.681 0.598
Ac 0.969 0.238 0.937
Ac 0.201 0.319 0.402
Ac 0.331 0.036 0.662
Ac 0.592 0.461 0.183
Ac 0.031 0.762 0.063
Cd 0.500 0.000 0.000
Ga 0.809 0.282 0.618
Ga 0.191 0.718 0.382
```

Values from the calculation:
The calculation puts the total energy at -41.73 eV per cell.

---

Record 3
Here is a relaxed Ac2Cd5Ga3 crystal from Alexandria. Energies are from GGA-PBE. Values from VASP.

Geometry as Quantum ESPRESSO input:
```
&SYSTEM
  ibrav = 0, nat = 10, ntyp = 3
/
ATOMIC_SPECIES
Ac 227.00 Ac.upf
Cd 112.41 Cd.upf
Ga 69.72 Ga.upf
CELL_PARAMETERS angstrom
4.637 0.000 0.000
0.000 4.637 0.000
0.000 0.000 11.683
ATOMIC_POSITIONS crystal
Ac 0.500 0.000 0.272
Ac 0.000 0.500 0.728
Cd 0.500 0.500 0.000
Cd 0.000 0.000 0.000
Cd 0.500 0.000 0.852
Cd 0.000 0.500 0.148
Cd 0.500 0.500 0.500
Ga 0.500 0.000 0.625
Ga 0.000 0.500 0.375
Ga 0.000 0.000 0.500
```

Values from the calculation:
The calculation puts the total energy at -25.48 eV per cell.

---

Record 4
Here is a relaxed AcGdCdGa crystal from Alexandria. Energies are from GGA-PBE. Values from VASP.

Geometry as Quantum ESPRESSO input:
```
&SYSTEM
  ibrav = 0, nat = 4, ntyp = 4
/
ATOMIC_SPECIES
Ac 227.00 Ac.upf
Gd 157.25 Gd.upf
Ga 69.72 Ga.upf
Cd 112.41 Cd.upf
CELL_PARAMETERS angstrom
-1.967 -4.637 -2.123
3.221 -4.397 -0.416
-0.859 -4.332 3.221
ATOMIC_POSITIONS crystal
Ac 0.500 0.500 0.500
Gd 0.000 0.000 0.000
Ga 0.250 0.250 0.250
Cd 0.750 0.750 0.750
```

Values from the calculation:
The calculation puts the total energy at -23.64 eV per cell.

---

Record 5
Here is a relaxed Ac3CdGa6Ge2 crystal from Alexandria. Energies are from GGA-PBE. Values from VASP.

Geometry as Quantum ESPRESSO input:
```
&SYSTEM
  ibrav = 0, nat = 12, ntyp = 4
/
ATOMIC_SPECIES
Ac 227.00 Ac.upf
Cd 112.41 Cd.upf
Ga 69.72 Ga.upf
Ge 72.64 Ge.upf
CELL_PARAMETERS angstrom
6.494 0.000 0.000
-3.247 5.624 0.000
0.000 0.000 8.484
ATOMIC_POSITIONS crystal
Ac 0.333 0.667 0.642
Ac 0.667 0.333 0.358
Ac 0.000 0.000 0.000
Cd 0.000 0.000 0.500
Ga 0.607 0.804 0.287
Ga 0.196 0.393 0.287
Ga 0.196 0.804 0.287
Ga 0.804 0.607 0.713
Ga 0.393 0.196 0.713
Ga 0.804 0.196 0.713
Ge 0.667 0.333 0.972
Ge 0.333 0.667 0.028
```

Values from the calculation:
The calculation puts the total energy at -43.99 eV per cell.

---

Record 6
Here is a relaxed Ac3CdGa2Hg6 crystal from Alexandria. Energies are from GGA-PBE. Values from VASP.

Geometry as Quantum ESPRESSO input:
```
&SYSTEM
  ibrav = 0, nat = 12, ntyp = 4
/
ATOMIC_SPECIES
Ac 227.00 Ac.upf
Cd 112.41 Cd.upf
Ga 69.72 Ga.upf
Hg 200.59 Hg.upf
CELL_PARAMETERS angstrom
6.708 0.000 0.000
-3.354 5.809 0.000
0.000 0.000 9.010
ATOMIC_POSITIONS crystal
Ac 0.333 0.667 0.639
Ac 0.667 0.333 0.361
Ac 0.000 0.000 0.000
Cd 0.000 0.000 0.500
Ga 0.667 0.333 0.988
Ga 0.333 0.667 0.012
Hg 0.637 0.819 0.277
Hg 0.181 0.363 0.277
Hg 0.181 0.819 0.277
Hg 0.819 0.637 0.723
Hg 0.363 0.181 0.723
Hg 0.819 0.181 0.723
```

Values from the calculation:
The calculation puts the total energy at -23.79 eV per cell.